[1]
Below is crystalline BiSb2P at its relaxed geometry, with properties calculated at the PBE-GGA level.

Unit cell a=6.050 b=6.050 c=8.781 alpha=69.85 beta=69.85 gamma=90.00
Fractional coordinates of all 8 atoms:
1 Sb 0.561 0.125 0.250
2 Sb 0.189 0.625 0.250
3 Sb 0.375 0.439 0.750
4 Sb 0.875 0.811 0.750
5 Bi 0.000 0.000 0.000
6 Bi 0.750 0.250 0.500
7 P 0.500 0.500 0.000
8 P 0.250 0.750 0.500

Computed properties:
E_form (uncorrected)	0.312	eV per atom
size of the total moment	0.00	μB per cell
space group	I-42d
E above lowest polymorph	178	meV/atom
E	-4.072	eV/atom

[2]
Below is crystalline Bi2SbP at its relaxed geometry, with properties calculated at the PBE-GGA level.

Unit cell a=6.670 b=6.670 c=8.480 alpha=66.84 beta=66.84 gamma=90.00
Fractional coordinates of all 8 atoms:
1 Sb 0.000 0.000 0.000
2 Sb 0.750 0.250 0.500
3 Bi 0.583 0.125 0.250
4 Bi 0.167 0.625 0.250
5 Bi 0.375 0.417 0.750
6 Bi 0.875 0.833 0.750
7 P 0.500 0.500 0.000
8 P 0.250 0.750 0.500

Computed properties:
E_form (uncorrected)	0.293	eV per atom
size of the total moment	0.00	μB per cell
space group	I-42d
E above lowest polymorph	179	meV/atom
E	-4.030	eV/atom

[3]
Below is crystalline BiSb2P at its relaxed geometry, with properties calculated at the PBE-GGA level.

Unit cell a=5.246 b=5.246 c=5.246 alpha=60.00 beta=60.00 gamma=60.00
Fractional coordinates of all 4 atoms:
1 Sb 0.250 0.250 0.250
2 Sb 0.750 0.750 0.750
3 Bi 0.500 0.500 0.500
4 P 0.000 0.000 0.000

Computed properties:
E_form (uncorrected)	0.452	eV per atom
size of the total moment	0.00	μB per cell
space group	Fm-3m
E above lowest polymorph	318	meV/atom
E	-3.932	eV/atom